Here is a geometry-optimized PmAgAs2Rh5 structure from Alexandria. Energies are from PBE-GGA.

Summary:
Formation energy ... -0.347 eV/atom

Lattice parameters (Å, degrees): 4.204 4.204 8.883 90.00 90.00 90.00
Fractional coordinates of all 9 atoms:
Pm  0.000  0.000  0.000
Ag  0.000  0.000  0.500
As  0.500  0.500  0.360
As  0.500  0.500  0.640
Rh  0.000  0.500  0.235
Rh  0.000  0.500  0.765
Rh  0.500  0.000  0.235
Rh  0.500  0.000  0.765
Rh  0.500  0.500  0.000